Entry 1:
Here is an optimized crystal structure of Al3CuP from the Alexandria database. Energies are from PBE.

## Properties
Total moment (μB per cell): 0.0
DOS(E_F) (states/eV/atom): 0.647
Crystal system: cubic
Electronic total energy (eV per atom): -3.7894

Unit cell a=4.5207 b=4.5207 c=4.5207 alpha=90.00 beta=90.00 gamma=90.00
Closest atoms and distances in Å follow each position.
Space group Pm-3m (No. 221)
Inequivalent atoms, fractional coordinates:
Al1 0.0000 0.0000 0.5000 x3  2 Cu 2.26
Cu1 0.0000 0.0000 0.0000 x1  6 Al 2.26
P1 0.5000 0.5000 0.5000 x1  12 Al 3.20


Entry 2:
Here is an optimized crystal structure of BaLi2Te from the Alexandria database. Energies are from PBE.

## Properties
Total moment (μB per cell): 0.0
DOS(E_F) (states/eV/atom): 0.389
Crystal system: trigonal
E_form (uncorrected) (meV/atom): -745

Unit cell a=4.6368 b=4.6368 c=19.4050 alpha=90.00 beta=90.00 gamma=120.00
Closest atoms and distances in Å follow each position.
Space group R3m (No. 160, hexagonal axes)
Inequivalent atoms, fractional coordinates:
Ba1 0.0000 0.0000 0.0000 x3  7 Li 3.71-4.13, 4 Te 3.71-3.90
Li1 0.0000 0.0000 0.4954 x3  3 Li 2.74, 3 Te 2.78
Li2 0.0000 0.0000 0.7989 x3  3 Li 2.74, 3 Te 2.99
Te1 0.0000 0.0000 0.2008 x3  6 Li 2.78-2.99


Entry 3:
Here is an optimized crystal structure of Pr2NdAl2Ag2 from the Alexandria database. Energies are from PBE.

## Properties
Total moment (μB per cell): 0.0
DOS(E_F) (states/eV/atom): 0.803
Crystal system: trigonal
Electronic total energy (eV per atom): -4.2161

Unit cell a=4.7263 b=4.7263 c=27.8006 alpha=90.00 beta=90.00 gamma=120.00
Closest atoms and distances in Å follow each position.
Space group R-3m (No. 166, hexagonal axes)
Inequivalent atoms, fractional coordinates:
Pr1 0.0000 0.0000 0.1272 x6  3 Al 3.16, 3 Ag 3.24, 3 Pr 3.50
Nd1 0.0000 0.0000 0.0000 x3  6 Ag 3.26, 6 Al 3.35, 2 Pr 3.54
Al1 0.0000 0.0000 0.2632 x6  3 Ag 2.73
Ag1 0.0000 0.0000 0.3974 x6  3 Al 2.73


Entry 4:
Here is an optimized crystal structure of Li2CaPr from the Alexandria database. Energies are from PBE.

## Properties
Total moment (μB per cell): 0.0
DOS(E_F) (states/eV/atom): 1.007
Crystal system: cubic
Electronic total energy (eV per atom): -2.5580

Unit cell a=7.7576 b=7.7576 c=7.7576 alpha=90.00 beta=90.00 gamma=90.00
Closest atoms and distances in Å follow each position.
Space group Fm-3m (No. 225)
Inequivalent atoms, fractional coordinates:
Li1 0.2500 0.2500 0.2500 x8  4 Pr 3.36, 4 Ca 3.36
Ca1 0.0000 0.0000 0.0000 x4  8 Li 3.36
Pr1 0.0000 0.0000 0.5000 x4  8 Li 3.36


Entry 5:
Here is an optimized crystal structure of Sc6SnAs3P2 from the Alexandria database. Energies are from PBE.

## Properties
Total moment (μB per cell): 0.0
DOS(E_F) (states/eV/atom): 0.328
Crystal system: monoclinic
Electronic total energy (eV per atom): -6.7837

Unit cell a=16.7317 b=3.8479 c=7.8653 alpha=90.00 beta=100.81 gamma=90.00
Closest atoms and distances in Å follow each position.
Space group C2/m (No. 12)
Inequivalent atoms, fractional coordinates:
Sc1 0.0085 0.0000 0.2748 x4  3 As 2.64-2.80, 1 P 2.66, 2 Sn 2.88
Sc2 0.1692 0.5000 0.5828 x4  3 P 2.64-2.71, 3 As 2.78-2.80
Sc3 0.1774 0.5000 0.1048 x4  3 As 2.67-2.82, 2 P 2.69, 1 Sn 2.93
Sn1 0.0000 0.5000 0.0000 x2  6 Sc 2.88-2.93
As1 0.0000 0.5000 0.5000 x2  6 Sc 2.64-2.78
As2 0.1604 0.0000 0.8380 x4  6 Sc 2.67-2.82
P1 0.1701 0.0000 0.3410 x4  6 Sc 2.64-2.71


Entry 6:
Here is an optimized crystal structure of BaLi2PmSn2 from the Alexandria database. Energies are from PBE.

## Properties
Total moment (μB per cell): 0.0
DOS(E_F) (states/eV/atom): 0.425
Crystal system: trigonal
Electronic total energy (eV per atom): -3.6858

Unit cell a=4.9245 b=4.9245 c=8.3069 alpha=90.00 beta=90.00 gamma=120.00
Closest atoms and distances in Å follow each position.
Space group P-3m1 (No. 164)
Inequivalent atoms, fractional coordinates:
Ba1 0.0000 0.0000 0.0000 x1  6 Sn 3.77, 6 Li 3.88, 2 Pm 4.15
Li1 0.3333 0.6667 0.6824 x2  3 Sn 2.85
Pm1 0.0000 0.0000 0.5000 x1  6 Li 3.22, 6 Sn 3.30
Sn1 0.3333 0.6667 0.2975 x2  3 Li 2.85


Question: The lowest DOS(E_F) belongs to which entry?
Answer: Sc6SnAs3P2